DFT (PBE-GGA) results for Pr8RhAu2 after structural relaxation.

It has space group C2/m (No. 12), with a = 18.1677 Å, b = 5.1719 Å, c = 7.1545 Å, α = 90.00°, β = 98.73° and γ = 90.00°. The distinct sites, in fractional coordinates, are Pr at (0.0255, 0.0000, 0.2790), Pr at (0.0884, 0.5000, 0.9481), Pr at (0.1575, 0.5000, 0.4713), Pr at (0.2039, 0.0000, 0.8290), Rh at (0.0000, 0.5000, 0.5000) and Au at (0.1934, 0.0000, 0.2426).

The calculation puts the formation energy at -0.39 eV per atom. The calculation puts the energy above the most stable polymorph in this dataset at 0 meV/atom.

DFT (PBE-GGA) results for PrRhAu after structural relaxation.

It has space group P-6m2 (No. 187), with a = 4.5632 Å, b = 4.5632 Å, c = 3.8208 Å, α = 90.00°, β = 90.00° and γ = 120.00°. The distinct sites, in fractional coordinates, are Pr at (0.0000, 0.0000, 0.0000), Rh at (0.6667, 0.3333, 0.5000) and Au at (0.3333, 0.6667, 0.5000).

The calculation puts the formation energy at -0.54 eV per atom. The calculation puts the energy above the most stable polymorph in this dataset at 28 meV/atom.

DFT (PBE-GGA) results for Pr4Rh2Au after structural relaxation.

It has space group R-3m (No. 166, hexagonal axes), with a = 4.5764 Å, b = 4.5764 Å, c = 32.5133 Å, α = 90.00°, β = 90.00° and γ = 120.00°. The distinct sites, in fractional coordinates, are Pr at (0.0000, 0.0000, 0.1171), Pr at (0.0000, 0.0000, 0.2967), Rh at (0.0000, 0.0000, 0.4084) and Au at (0.0000, 0.0000, 0.5000).

The calculation puts the formation energy at -0.58 eV per atom. The calculation puts the energy above the most stable polymorph in this dataset at 37 meV/atom.

DFT (PBE-GGA) results for Pr2Sb3Rh4Au after structural relaxation.

It has space group P-4m2 (No. 115), with a = 4.4048 Å, b = 4.4048 Å, c = 11.0326 Å, α = 90.00°, β = 90.00° and γ = 90.00°. The distinct sites, in fractional coordinates, are Pr at (0.0000, 0.5000, 0.2387), Sb at (0.0000, 0.0000, 0.0000), Sb at (0.0000, 0.5000, 0.6320), Rh at (0.0000, 0.0000, 0.5000), Rh at (0.0000, 0.5000, 0.8608), Rh at (0.5000, 0.5000, 0.5000) and Au at (0.5000, 0.5000, 0.0000).

For the uncorrected formation energy, the calculation gives -733 meV per atom.

Number 1: uncorrected energy -5.131 eV/atom, M_tot 0.0 μB/f.u.. Number 2: uncorrected energy -5.675 eV/atom, M_tot 0.0 μB/f.u.. Number 3: uncorrected energy -5.879 eV/atom, M_tot 0.0 μB/f.u.. Number 4: uncorrected energy -6.194 eV/atom, M_tot 0.0 μB/f.u..